Entry 1:
The following is a PBE calculation of an optimized crystal structure of AcLaY2P4, from the Alexandria database.

a = 7.2556 Å, b = 4.1906 Å, c = 7.2600 Å
α = 90.00°, β = 109.44°, γ = 90.00°
Space group P2/m (No. 10)
One atom of each set of equivalent atoms:
Ac 0.0000 0.0000 0.0000 x1
La 0.5000 0.5000 0.0000 x1
Y 0.0000 0.5000 0.5000 x1
Y 0.5000 0.0000 0.5000 x1
P 0.2489 0.0000 0.7339 x2
P 0.2609 0.5000 0.2697 x2

---

Entry 2:
The following is a PBE calculation of an optimized crystal structure of KCu2Ir, from the Alexandria database.

Summary:
Relative energy among the computed polymorphs in meV/atom: 119.0

a = 2.6528 Å, b = 4.2997 Å, c = 7.1756 Å
α = 90.00°, β = 100.00°, γ = 90.00°
Space group Pm (No. 6)
One atom of each set of equivalent atoms:
K 0.0000 0.0000 0.0000 x1
Cu 0.6697 0.5000 0.3285 x1
Cu 0.7817 0.0000 0.5625 x1
Ir 0.3139 0.5000 0.6326 x1

---

Entry 3:
The following is a PBE calculation of an optimized crystal structure of Mn2Hg2Bi, from the Alexandria database.

Summary:
Relative energy among the computed polymorphs in meV/atom: 0.0

a = 7.8529 Å, b = 7.8529 Å, c = 3.4735 Å
α = 90.00°, β = 90.00°, γ = 90.00°
Space group P4/mbm (No. 127)
One atom of each set of equivalent atoms:
Mn 0.1362 0.3638 0.0000 x4
Hg 0.1592 0.6592 0.5000 x4
Bi 0.0000 0.0000 0.0000 x2

---

Entry 4:
The following is a PBE calculation of an optimized crystal structure of Cd2Sn2Hg3, from the Alexandria database.

Summary:
Relative energy among the computed polymorphs in meV/atom: 2.3

a = 9.6562 Å, b = 3.1105 Å, c = 12.6367 Å
α = 90.00°, β = 102.21°, γ = 90.00°
Space group C2/m (No. 12)
One atom of each set of equivalent atoms:
Cd 0.2319 0.0000 0.3672 x4
Sn 0.0714 0.0000 0.7696 x4
Hg 0.0000 0.0000 0.5000 x2
Hg 0.1431 0.5000 0.0743 x4

---

Entry 5:
The following is a PBE calculation of an optimized crystal structure of Sc2NiHg, from the Alexandria database.

a = 6.7126 Å, b = 6.7294 Å, c = 3.3850 Å
α = 90.00°, β = 90.00°, γ = 90.00°
Space group Cmmm (No. 65)
One atom of each set of equivalent atoms:
Sc 0.2500 0.2500 0.0000 x4
Ni 0.0000 0.0000 0.5000 x2
Hg 0.0000 0.5000 0.5000 x2

---

Entry 6:
The following is a PBE calculation of an optimized crystal structure of Ce4Bi7Au6, from the Alexandria database.

a = 9.6619 Å, b = 9.6619 Å, c = 9.6619 Å
α = 90.00°, β = 90.00°, γ = 90.00°
Space group Im-3m (No. 229)
One atom of each set of equivalent atoms:
Ce 0.2500 0.2500 0.2500 x8
Bi 0.0000 0.0000 0.0000 x2
Bi 0.0000 0.2500 0.5000 x12
Au 0.0000 0.0000 0.3012 x12

---

| no. | VASP energy (eV per cell) | calculated volume (Å³/atom) |
| --- | --- | --- |
| 1 | -55.95 | 26.02 |
| 2 | -16.35 | 20.15 |
| 3 | -41.99 | 21.42 |
| 4 | -20.65 | 26.50 |
| 5 | -40.41 | 19.11 |
| 6 | -156.97 | 26.53 |